The following is a DFT calculation (GGA-PBEsol) of a relaxed structure of Li5Ti2Fe3O10.

Geometry as CIF:
```
data_Li5Ti2Fe3O10
_cell_length_a 4.965
_cell_length_b 5.048
_cell_length_c 7.443
_cell_angle_alpha 102.10
_cell_angle_beta 108.11
_cell_angle_gamma 99.83
_symmetry_space_group_name_H-M 'P -1'
_symmetry_Int_Tables_number 2
loop_
_symmetry_equiv_pos_as_xyz
'x,y,z'
'-x,-y,-z'
loop_
_atom_site_label
_atom_site_fract_x
_atom_site_fract_y
_atom_site_fract_z
Li1 0.000 0.000 0.000
Li2 0.193 0.496 0.909
Li3 0.372 0.479 0.287
Ti1 0.423 0.007 0.794
Fe1 0.000 0.500 0.500
Fe2 0.206 0.998 0.402
O1 0.004 0.772 0.740
O2 0.181 0.227 0.642
O3 0.209 0.756 0.161
O4 0.410 0.758 0.542
O5 0.418 0.230 0.050
```

Properties
E_form (uncorrected) ... -2.0733 eV per atom